[1]
TbEr4Pd4, optimized geometry, DFT PBE-GGA; D(E_F) = 14.161 states/eV per cell; energy of formation = -0.689 eV/atom; DFT total energy = -0.407 Ry per atom
1.0
5.7289 0.0000 0.0000
0.0000 8.9418 0.0000
0.0000 0.0000 8.9418
Tb Er Pd
2 8 8
direct
0.0000 0.0000 0.0000 Tb
0.5000 0.5000 0.5000 Tb
0.4112 0.3234 0.9069 Er
0.9112 0.5931 0.8234 Er
0.4112 0.6766 0.0931 Er
0.0888 0.1766 0.5931 Er
0.5888 0.9069 0.6766 Er
0.0888 0.8234 0.4069 Er
0.9112 0.4069 0.1766 Er
0.5888 0.0931 0.3234 Er
0.5914 0.7836 0.3751 Pd
0.5914 0.2164 0.6249 Pd
0.0914 0.8751 0.7164 Pd
0.9086 0.2836 0.8751 Pd
0.9086 0.7164 0.1249 Pd
0.4086 0.3751 0.2164 Pd
0.4086 0.6249 0.7836 Pd
0.0914 0.1249 0.2836 Pd

***

[2]
MgInHg2Pb, optimized geometry, DFT PBE-GGA; D(E_F) = 2.204 states/eV per cell; energy of formation = 0.003 eV/atom; DFT total energy = -0.127 Ry per atom
1.0
5.0047 0.0000 0.0000
-2.5024 4.3342 0.0000
0.0000 0.0000 6.4785
Mg In Hg Pb
1 1 2 1
direct
0.3333 0.6667 0.6888 Mg
0.6667 0.3333 0.3248 In
0.3333 0.6667 0.2308 Hg
0.6667 0.3333 0.7746 Hg
0.0000 0.0000 0.9810 Pb

***

[3]
TbCe2Zn, optimized geometry, DFT PBE-GGA; D(E_F) = 12.004 states/eV per cell; energy of formation = 0.127 eV/atom; DFT total energy = -0.317 Ry per atom
1.0
5.3374 0.0000 0.0000
2.6687 4.6223 0.0000
2.6687 1.5408 4.3580
Zn Tb Ce
1 1 2
direct
0.0000 0.0000 0.0000 Zn
0.5000 0.5000 0.5000 Tb
0.2500 0.2500 0.2500 Ce
0.7500 0.7500 0.7500 Ce